# 1
Density functional theory data (PBE) for a geometry-optimized AgRhSe2 structure.

abc: 11.813 3.352 4.597
angles: 90.00 105.59 90.00
Space group Cm (No. 8)
One atom of each set of equivalent atoms:
Ag (0.000, 0.000, 0.000) (multiplicity 2)
Rh (0.181, 0.000, 0.696) (multiplicity 2)
Se (0.023, 0.500, 0.506) (multiplicity 2)
Se (0.281, 0.500, 0.050) (multiplicity 2)

## Properties
Formation energy without anion corrections   -0.008 eV/atom
DOS(E_F)   4.9 states/eV per cell

# 2
Density functional theory data (PBE) for a geometry-optimized AcZnInCu structure.

abc: 7.204 7.204 7.204
angles: 90.00 90.00 90.00
Space group F-43m (No. 216)
One atom of each set of equivalent atoms:
Ac (0.000, 0.000, 0.000) (multiplicity 4)
Zn (0.250, 0.250, 0.750) (multiplicity 4)
In (0.000, 0.000, 0.500) (multiplicity 4)
Cu (0.250, 0.250, 0.250) (multiplicity 4)

## Properties
Formation enthalpy at 0 K   -0.9 eV/f.u.
DOS(E_F)   5.8 states/eV per cell

# 3
Density functional theory data (PBE) for a geometry-optimized BaCd3Fe structure.

abc: 5.180 5.180 5.180
angles: 90.00 90.00 90.00
Space group Pm-3m (No. 221)
One atom of each set of equivalent atoms:
Ba (0.000, 0.000, 0.000) (multiplicity 1)
Cd (0.000, 0.500, 0.500) (multiplicity 3)
Fe (0.500, 0.500, 0.500) (multiplicity 1)

## Properties
Formation enthalpy at 0 K   0.3 eV/f.u.
DOS(E_F)   4.7 states/eV per cell

# 4
Density functional theory data (PBE) for a geometry-optimized Sc5TlRh structure.

abc: 8.021 7.179 11.296
angles: 90.00 104.36 90.00
Space group C2/c (No. 15)
One atom of each set of equivalent atoms:
Sc (0.000, 0.018, 0.250) (multiplicity 4)
Sc (0.137, 0.343, 0.073) (multiplicity 8)
Sc (0.248, 0.325, 0.380) (multiplicity 8)
Tl (0.000, 0.389, 0.750) (multiplicity 4)
Rh (0.000, 0.000, 0.000) (multiplicity 4)

## Properties
Formation enthalpy at 0 K   -1.8 eV/f.u.
DOS(E_F)   38.4 states/eV per cell

# 5
Density functional theory data (PBE) for a geometry-optimized Sm2YPt structure.

abc: 3.650 3.650 8.527
angles: 90.00 90.00 90.00
Space group P4/mmm (No. 123)
One atom of each set of equivalent atoms:
Sm (0.000, 0.000, 0.196) (multiplicity 2)
Y (0.500, 0.500, 0.500) (multiplicity 1)
Pt (0.500, 0.500, 0.000) (multiplicity 1)

## Properties
Formation enthalpy at 0 K   -2.1 eV/f.u.
DOS(E_F)   5.6 states/eV per cell

# 6
Density functional theory data (PBE) for a geometry-optimized Tb3Sm12Pu structure.

abc: 5.096 5.096 20.364
angles: 90.00 90.00 90.00
Space group P4/mmm (No. 123)
One atom of each set of equivalent atoms:
Tb (0.000, 0.000, 0.000) (multiplicity 1)
Tb (0.000, 0.000, 0.251) (multiplicity 2)
Sm (0.000, 0.500, 0.126) (multiplicity 4)
Sm (0.000, 0.500, 0.378) (multiplicity 4)
Sm (0.500, 0.500, 0.000) (multiplicity 1)
Sm (0.500, 0.500, 0.251) (multiplicity 2)
Sm (0.500, 0.500, 0.500) (multiplicity 1)
Pu (0.000, 0.000, 0.500) (multiplicity 1)

## Properties
Formation enthalpy at 0 K   0.7 eV/f.u.
DOS(E_F)   30.2 states/eV per cell

# 7
Density functional theory data (PBE) for a geometry-optimized BaLiCuSe2 structure.

abc: 6.011 13.899 5.836
angles: 90.00 90.00 90.00
Space group Cmme (No. 67)
One atom of each set of equivalent atoms:
Ba (0.000, 0.250, 0.240) (multiplicity 4)
Li (0.250, 0.000, 0.500) (multiplicity 4)
Cu (0.000, 0.000, 0.000) (multiplicity 4)
Se (0.000, 0.121, 0.735) (multiplicity 8)

## Properties
Formation energy without anion corrections   -1.171 eV/atom

# 8
Density functional theory data (PBE) for a geometry-optimized ZrCdP2 structure.

abc: 9.346 3.191 5.590
angles: 90.00 94.32 90.00
Space group C2/m (No. 12)
One atom of each set of equivalent atoms:
Zr (0.000, 0.000, 0.000) (multiplicity 2)
Cd (0.000, 0.500, 0.500) (multiplicity 2)
P (0.229, 0.500, 0.139) (multiplicity 4)

## Properties
Formation enthalpy at 0 K   -1.2 eV/f.u.
DOS(E_F)   3.7 states/eV per cell

# 9
Density functional theory data (PBE) for a geometry-optimized Ce2SmC2 structure.

abc: 3.627 5.204 11.019
angles: 90.00 90.00 90.00
Space group Immm (No. 71)
One atom of each set of equivalent atoms:
Ce (0.000, 0.000, 0.175) (multiplicity 4)
Sm (0.000, 0.000, 0.500) (multiplicity 2)
C (0.000, 0.500, 0.178) (multiplicity 4)

## Properties
Formation enthalpy at 0 K   -0.5 eV/f.u.
DOS(E_F)   12.9 states/eV per cell

# 10
Density functional theory data (PBE) for a geometry-optimized Rb2Tm2PbO6 structure.

abc: 5.908 10.247 6.970
angles: 90.00 105.96 90.00
Space group C2/m (No. 12)
One atom of each set of equivalent atoms:
Rb (0.000, 0.166, 0.000) (multiplicity 4)
Tm (0.000, 0.334, 0.500) (multiplicity 4)
Pb (0.000, 0.000, 0.500) (multiplicity 2)
O (0.219, 0.169, 0.668) (multiplicity 8)
O (0.229, 0.500, 0.667) (multiplicity 4)

## Properties
Formation energy without anion corrections   -2.278 eV/atom
DOS(E_F)   0.0 states/eV per cell

# 11
Density functional theory data (PBE) for a geometry-optimized Zr2Ir2Pd structure.

abc: 7.579 7.579 3.200
angles: 90.00 90.00 90.00
Space group P4/mbm (No. 127)
One atom of each set of equivalent atoms:
Zr (0.165, 0.335, 0.000) (multiplicity 4)
Ir (0.134, 0.634, 0.500) (multiplicity 4)
Pd (0.000, 0.000, 0.500) (multiplicity 2)

## Properties
Formation enthalpy at 0 K   -3.3 eV/f.u.
DOS(E_F)   8.0 states/eV per cell

# 12
Density functional theory data (PBE) for a geometry-optimized Ba2PrZnSe5 structure.

abc: 4.414 18.172 13.753
angles: 90.00 90.00 90.00
Space group Cmc2_1 (No. 36)
One atom of each set of equivalent atoms:
Ba (0.000, 0.115, 0.000) (multiplicity 4)
Ba (0.000, 0.132, 0.662) (multiplicity 4)
Pr (0.000, 0.178, 0.336) (multiplicity 4)
Zn (0.000, 0.463, 0.730) (multiplicity 4)
Se (0.000, 0.014, 0.317) (multiplicity 4)
Se (0.000, 0.320, 0.985) (multiplicity 4)
Se (0.000, 0.326, 0.682) (multiplicity 4)
Se (0.000, 0.336, 0.336) (multiplicity 4)
Se (0.000, 0.484, 0.065) (multiplicity 4)

## Properties
Formation energy without anion corrections   -1.531 eV/atom
DOS(E_F)   9.2 states/eV per cell

Computed calculated total energy (eV/atom) in order:
-4.301, -3.289, -2.561, -6.166, -6.000, -5.260, -4.151, -5.371, -7.111, -6.308, -8.671, -4.567
Computed density (Mg/m³) in order:
6.984, 8.365, 6.338, 5.608, 8.546, 7.928, 4.982, 5.306, 7.258, 6.648, 12.166, 5.273